{
  "formula": "Li2CuP6",
  "functional": "PBE",
  "state": "relaxed",
  "energy_ev_per_cell": -81.48,
  "density_g_cm3": 2.61,
  "cell": [[6.4835, 0.0000, 0.0000], [0.0000, 8.8951, 0.0000], [-2.0587, 0.0000, 5.8126]],
  "species": ["Li", "Li", "Li", "Li", "Cu", "Cu", "P", "P", "P", "P", "P", "P", "P", "P", "P", "P", "P", "P"],
  "fractional_positions": [[0.2495, 0.1467, 0.2816], [0.2495, 0.3533, 0.7816], [0.7505, 0.6467, 0.2184], [0.7505, 0.8533, 0.7184], [0.0000, 0.0000, 0.5000], [0.0000, 0.5000, 0.0000], [0.0106, 0.6132, 0.6335], [0.0106, 0.8868, 0.1335], [0.2044, 0.7324, 0.4080], [0.2044, 0.7676, 0.9080], [0.3498, 0.5942, 0.1729], [0.3498, 0.9058, 0.6729], [0.6502, 0.0942, 0.3271], [0.6502, 0.4058, 0.8271], [0.7956, 0.2324, 0.0920], [0.7956, 0.2676, 0.5920], [0.9894, 0.1132, 0.8665], [0.9894, 0.3868, 0.3665]]
}